[1]
VTcRu2 after structural relaxation, computed with PBE.

Cell lengths 3.7488, 3.7488, 9.0722 Å; angles 78.08, 78.08, 90.00 degrees
Atoms (fractional coordinates):
1 Ru 0.1417 0.6250 0.2500
2 Ru 0.8750 0.8583 0.7500
3 Ru 0.3750 0.3917 0.7500
4 Ru 0.6083 0.1250 0.2500
5 V 0.2500 0.7500 0.5000
6 V 0.5000 0.5000 0.0000
7 Tc 0.7500 0.2500 0.5000
8 Tc 0.0000 0.0000 0.0000

Calculated values
Uncorrected energy ... -8.97 eV per atom
DOS(E_F) ... 9.1 states/eV/cell
Space-group type ... I-42d, No. 122
Volume ... 15.2 Å³ per atom
Total magnetic moment ... 0.0 μB/f.u.
Polymorph energy (0 for the lowest one) ... 2.35 eV per formula unit

***

[2]
V6TcRu after structural relaxation, computed with PBE.

Cell lengths 4.2370, 5.2010, 5.2010 Å; angles 109.63, 90.00, 90.00 degrees
Atoms (fractional coordinates):
1 Tc 0.5000 0.0000 0.0000
2 V 0.0000 0.7497 0.2503
3 V 0.0000 0.2477 0.2477
4 V 0.0000 0.2503 0.7497
5 V 0.5000 0.5000 0.0000
6 V 0.0000 0.7523 0.7523
7 V 0.5000 0.0000 0.5000
8 Ru 0.5000 0.5000 0.5000

Calculated values
Uncorrected energy ... -9.57 eV per atom
DOS(E_F) ... 6.1 states/eV/cell
Space-group type ... Cmmm, No. 65
Volume ... 13.5 Å³ per atom
Total magnetic moment ... 0.0 μB/f.u.

***

[3]
V5Tc4Ru after structural relaxation, computed with PBE.

Cell lengths 3.0239, 3.0239, 15.1101 Å; angles 90.00, 90.00, 90.00 degrees
Atoms (fractional coordinates):
1 Ru 0.0000 0.0000 0.0000
2 Tc 0.0000 0.0000 0.6002
3 Tc 0.0000 0.0000 0.3998
4 Tc 0.0000 0.0000 0.1989
5 Tc 0.0000 0.0000 0.8011
6 V 0.5000 0.5000 0.6996
7 V 0.5000 0.5000 0.1025
8 V 0.5000 0.5000 0.8975
9 V 0.5000 0.5000 0.5000
10 V 0.5000 0.5000 0.3004

Calculated values
Uncorrected energy ... -9.99 eV per atom
DOS(E_F) ... 5.4 states/eV/cell
Space-group type ... P4/mmm, No. 123
Volume ... 13.8 Å³ per atom
Total magnetic moment ... 0.0 μB/f.u.

***

[4]
VTcRu2 after structural relaxation, computed with PBE.

Cell lengths 4.3173, 4.3173, 4.3173 Å; angles 60.00, 60.00, 60.00 degrees
Site moments in Bohr magnetons follow the coordinates.
Atoms (fractional coordinates):
1 V 0.0000 0.0000 0.0000  0.66
2 Ru 0.7500 0.7500 0.7500  0.19
3 Ru 0.2500 0.2500 0.2500  0.19
4 Tc 0.5000 0.5000 0.5000  0.48

Calculated values
Uncorrected energy ... -9.33 eV per atom
DOS(E_F) ... 7.4 states/eV/cell
Space-group type ... Fm-3m, No. 225
Volume ... 14.2 Å³ per atom
Total magnetic moment ... 1.6 μB/f.u.
Polymorph energy (0 for the lowest one) ... 0.93 eV per formula unit

***

[5]
V7Tc2Ru3 after structural relaxation, computed with PBE.

Cell lengths 4.2045, 4.2171, 10.3598 Å; angles 101.74, 90.00, 90.00 degrees
Atoms (fractional coordinates):
1 V 0.0000 0.4288 0.8576
2 V 0.0000 0.5712 0.1424
3 V 0.5000 0.9224 0.8449
4 V 0.0000 0.7131 0.4262
5 V 0.5000 0.0776 0.1551
6 V 0.0000 0.0000 0.0000
7 V 0.0000 0.2869 0.5738
8 Tc 0.0000 0.1484 0.2969
9 Tc 0.0000 0.8516 0.7031
10 Ru 0.5000 0.6486 0.2972
11 Ru 0.5000 0.5000 0.0000
12 Ru 0.5000 0.3514 0.7028

Calculated values
Uncorrected energy ... -9.32 eV per atom
DOS(E_F) ... 10.5 states/eV/cell
Space-group type ... Cmmm, No. 65
Volume ... 15.0 Å³ per atom
Total magnetic moment ... 0.0 μB/f.u.

***

[6]
V4TcRu after structural relaxation, computed with PBE.

Cell lengths 4.8768, 4.8768, 4.8768 Å; angles 60.00, 60.00, 60.00 degrees
Site moments in Bohr magnetons follow the coordinates.
Atoms (fractional coordinates):
1 V 0.6248 0.1255 0.6248  0.03
2 V 0.6248 0.6248 0.1255  0.03
3 V 0.1255 0.6248 0.6248  0.03
4 V 0.6248 0.6248 0.6248  0.03
5 Ru 0.0000 0.0000 0.0000  0.08
6 Tc 0.2500 0.2500 0.2500  0.09

Calculated values
Uncorrected energy ... -9.32 eV per atom
DOS(E_F) ... 12.8 states/eV/cell
Space-group type ... F-43m, No. 216
Volume ... 13.7 Å³ per atom
Total magnetic moment ... 0.3 μB/f.u.
Polymorph energy (0 for the lowest one) ... 0.00 eV per formula unit